No. 1
{
  "formula": "ScCrCu",
  "functional": "PBE",
  "state": "relaxed",
  "cell": [[4.380, 0.000, 0.000], [2.190, 3.793, 0.000], [2.190, 1.264, 3.576]],
  "species": ["Cr", "Sc", "Cu"],
  "fractional_positions": [[0.000, 0.000, 0.000], [0.750, 0.750, 0.750], [0.500, 0.500, 0.500]],
  "vol_a3_per_cell": 59.4,
  "e_tot_ev_per_atom": -5.869,
  "formation_enthalpy_0k_mev_per_atom": 814
}



No. 2
{
  "formula": "ScCrCu",
  "functional": "PBE",
  "state": "relaxed",
  "cell": [[6.520, 0.000, -0.009], [0.000, 4.342, 0.000], [-5.722, 0.000, 6.807]],
  "species": ["Cr", "Sc", "Cu", "Sc", "Cr", "Sc", "Cu", "Cr", "Sc", "Cr", "Cu", "Cu"],
  "fractional_positions": [[0.067, 0.000, 0.933], [0.308, 0.000, 0.755], [0.280, 0.000, 0.446], [0.692, 0.500, 0.745], [0.067, 0.500, 0.433], [0.692, 0.000, 0.245], [0.720, 0.500, 0.054], [0.933, 0.500, 0.567], [0.308, 0.500, 0.255], [0.933, 0.000, 0.067], [0.280, 0.500, 0.946], [0.720, 0.000, 0.554]],
  "vol_a3_per_cell": 192.5,
  "e_tot_ev_per_atom": -6.556,
  "formation_enthalpy_0k_mev_per_atom": 127
}